1.
# AsBr, relaxed, DFT PBE
data_AsBr
_chemical_formula_sum 'As4 Br4'
_cell_length_a 5.981
_cell_length_b 5.981
_cell_length_c 5.981
_cell_angle_alpha 90.00
_cell_angle_beta 90.00
_cell_angle_gamma 90.00
_space_group_name_H-M_alt 'P 1'
_space_group_IT_number 1
loop_
_space_group_symop_operation_xyz
'x,y,z'
loop_
_atom_site_label
_atom_site_type_symbol
_atom_site_fract_x
_atom_site_fract_y
_atom_site_fract_z
_atom_site_occupancy
As1 As 0.152 0.652 0.848 1
As2 As 0.348 0.348 0.348 1
As3 As 0.848 0.152 0.652 1
As4 As 0.652 0.848 0.152 1
Br1 Br 0.383 0.883 0.617 1
Br2 Br 0.117 0.117 0.117 1
Br3 Br 0.617 0.383 0.883 1
Br4 Br 0.883 0.617 0.383 1
# crystal system	cubic
# space-group type	P2_13, No. 198
# total DFT energy (no corrections)	-2.67	eV per atom

2.
# AsBr, relaxed, DFT PBE
data_AsBr
_chemical_formula_sum 'As6 Br6'
_cell_length_a 10.767
_cell_length_b 7.517
_cell_length_c 5.336
_cell_angle_alpha 90.00
_cell_angle_beta 90.00
_cell_angle_gamma 90.00
_space_group_name_H-M_alt 'P 1'
_space_group_IT_number 1
loop_
_space_group_symop_operation_xyz
'x,y,z'
loop_
_atom_site_label
_atom_site_type_symbol
_atom_site_fract_x
_atom_site_fract_y
_atom_site_fract_z
_atom_site_occupancy
As1 As 0.709 0.504 0.754 1
As2 As 0.791 0.496 0.254 1
As3 As 0.291 0.504 0.754 1
As4 As 0.209 0.496 0.254 1
As5 As 0.000 0.658 0.255 1
As6 As 0.500 0.342 0.755 1
Br1 Br 0.832 0.187 0.242 1
Br2 Br 0.668 0.813 0.742 1
Br3 Br 0.168 0.187 0.242 1
Br4 Br 0.332 0.813 0.742 1
Br5 Br 0.000 0.709 0.757 1
Br6 Br 0.500 0.291 0.257 1
# crystal system	orthorhombic
# space-group type	Pmn2_1, No. 31
# total DFT energy (no corrections)	-3.30	eV per atom

3.
# AsBr3, relaxed, DFT PBE
data_AsBr3
_chemical_formula_sum 'As2 Br6'
_cell_length_a 8.235
_cell_length_b 8.235
_cell_length_c 5.272
_cell_angle_alpha 90.00
_cell_angle_beta 90.00
_cell_angle_gamma 92.39
_space_group_name_H-M_alt 'P 1'
_space_group_IT_number 1
loop_
_space_group_symop_operation_xyz
'x,y,z'
loop_
_atom_site_label
_atom_site_type_symbol
_atom_site_fract_x
_atom_site_fract_y
_atom_site_fract_z
_atom_site_occupancy
As1 As 0.485 0.515 0.250 1
As2 As 0.515 0.485 0.750 1
Br1 Br 0.976 0.024 0.750 1
Br2 Br 0.024 0.976 0.250 1
Br3 Br 0.800 0.523 0.750 1
Br4 Br 0.200 0.477 0.250 1
Br5 Br 0.477 0.200 0.750 1
Br6 Br 0.523 0.800 0.250 1
# crystal system	orthorhombic
# space-group type	Cmcm, No. 63
# total DFT energy (no corrections)	-2.65	eV per atom

4.
# As2Br3, relaxed, DFT PBE
data_As2Br3
_chemical_formula_sum 'As2 Br3'
_cell_length_a 5.177
_cell_length_b 5.177
_cell_length_c 7.861
_cell_angle_alpha 90.00
_cell_angle_beta 90.00
_cell_angle_gamma 120.00
_space_group_name_H-M_alt 'P 1'
_space_group_IT_number 1
loop_
_space_group_symop_operation_xyz
'x,y,z'
loop_
_atom_site_label
_atom_site_type_symbol
_atom_site_fract_x
_atom_site_fract_y
_atom_site_fract_z
_atom_site_occupancy
As1 As 0.667 0.333 0.985 1
As2 As 0.333 0.667 0.015 1
Br1 Br 0.000 0.000 0.000 1
Br2 Br 0.667 0.333 0.686 1
Br3 Br 0.333 0.667 0.314 1
# crystal system	trigonal
# space-group type	P-3m1, No. 164
# total DFT energy (no corrections)	-2.96	eV per atom

5.
# AsBr, relaxed, DFT PBE
data_AsBr
_chemical_formula_sum 'As2 Br2'
_cell_length_a 5.009
_cell_length_b 5.009
_cell_length_c 5.009
_cell_angle_alpha 60.00
_cell_angle_beta 60.00
_cell_angle_gamma 60.00
_space_group_name_H-M_alt 'P 1'
_space_group_IT_number 1
loop_
_space_group_symop_operation_xyz
'x,y,z'
loop_
_atom_site_label
_atom_site_type_symbol
_atom_site_fract_x
_atom_site_fract_y
_atom_site_fract_z
_atom_site_occupancy
As1 As 0.000 0.000 0.000 1
As2 As 0.250 0.250 0.250 1
Br1 Br 0.500 0.500 0.500 1
Br2 Br 0.750 0.750 0.750 1
# crystal system	cubic
# space-group type	Fd-3m, No. 227
# total DFT energy (no corrections)	-2.66	eV per atom

6.
# AsBr3, relaxed, DFT PBE
data_AsBr3
_chemical_formula_sum 'As1 Br3'
_cell_length_a 5.297
_cell_length_b 5.297
_cell_length_c 5.297
_cell_angle_alpha 90.00
_cell_angle_beta 90.00
_cell_angle_gamma 90.00
_space_group_name_H-M_alt 'P 1'
_space_group_IT_number 1
loop_
_space_group_symop_operation_xyz
'x,y,z'
loop_
_atom_site_label
_atom_site_type_symbol
_atom_site_fract_x
_atom_site_fract_y
_atom_site_fract_z
_atom_site_occupancy
As1 As 0.000 0.000 0.000 1
Br1 Br 0.500 0.000 0.000 1
Br2 Br 0.000 0.500 0.000 1
Br3 Br 0.000 0.000 0.500 1
# crystal system	cubic
# space-group type	Pm-3m, No. 221
# total DFT energy (no corrections)	-2.64	eV per atom